Computed, not measured: an optimized crystal structure of Ba2ScTlCr at the GGA-PBE level of DFT.

The volume is 34.5 Å³ per atom. The calculation puts the energy of formation from the pure elements at 865 meV per atom. As for the total moment: 0.697 μB per cell.

abc: 5.688 5.336 5.688
angles: 90.00 90.00 90.00
Each line ends with the local moment (μB).
Fractional coordinates of all 5 atoms:
Sc  0.500  0.500  0.500  0.42
Cr  0.000  0.000  0.000  -0.01
Tl  0.000  0.500  0.000  -0.01
Ba  0.000  0.000  0.500  0.02
Ba  0.500  0.000  0.000  0.01